# K14Mn2O9, optimized geometry, DFT PBE with a Hubbard U
# E_tot = -4.147 eV per atom
data_K14Mn2O9
_chemical_formula_sum 'K14 Mn2 O9'
_cell_length_a 7.5981
_cell_length_b 7.5981
_cell_length_c 10.6991
_cell_angle_alpha 90.00
_cell_angle_beta 90.00
_cell_angle_gamma 120.00
_space_group_name_H-M_alt 'P -3'
_space_group_IT_number 147
_space_group_name_Hall '-P 3'
loop_
_atom_site_label
_atom_site_fract_x
_atom_site_fract_y
_atom_site_fract_z
K1 0.0000 0.0000 0.2488
K2 0.0281 0.6685 0.4062
K3 0.0698 0.3828 0.0941
Mn1 0.3333 0.6667 0.7676
O1 0.0000 0.0000 0.5000
O2 0.0823 0.3813 0.8343
O3 0.3333 0.6667 0.5664